Arrangement i

A geometry-optimized NiRh2Br structure, computed with PBE-GGA.

Lattice parameters (Å, degrees): 4.602 4.602 4.602 127.74 127.74 77.05
Element x y z (fractional)
Ni  0.000  0.000  0.000
Rh  0.250  0.750  0.500
Rh  0.750  0.250  0.500
Br  0.500  0.500  0.000

N(E_F): 6.576 states/eV/cell
Magnetization: 0.950 μB per cell

---

Arrangement ii

A geometry-optimized NiRh2Br structure, computed with PBE-GGA.

Lattice parameters (Å, degrees): 4.397 4.397 4.397 60.00 60.00 60.00
Element x y z (fractional)
Ni  0.000  0.000  0.000
Rh  0.500  0.500  0.500
Rh  0.750  0.750  0.750
Br  0.250  0.250  0.250

N(E_F): 4.685 states/eV/cell
Magnetization: 0.001 μB per cell

---

Of them, arrangement ii has the lowest stability.